*one*
Density functional theory data (PBE-GGA) for a geometry-optimized TbPmAlHg structure.

a = 3.560 Å, b = 3.560 Å, c = 8.070 Å
α = 90.00°, β = 90.00°, γ = 90.00°
Positions (direct):
Tb 0.000 0.000 0.366
Pm 0.000 0.000 0.844
Hg 0.500 0.500 0.117
Al 0.500 0.500 0.601

Properties
Fermi-level density of states	1.812	states/eV/cell

*two*
Density functional theory data (PBE-GGA) for a geometry-optimized TbPmAlHg structure.

a = 5.289 Å, b = 5.289 Å, c = 5.289 Å
α = 60.00°, β = 60.00°, γ = 60.00°
Positions (direct):
Tb 0.000 0.000 0.000
Al 0.750 0.750 0.750
Hg 0.250 0.250 0.250
Pm 0.500 0.500 0.500

Properties
Fermi-level density of states	4.976	states/eV/cell

It turns out *one* is the most stable, with the second structure 41 meV/atom higher.

*one*
Density functional theory data (PBE-GGA) for a geometry-optimized Pr4AlHg structure.

a = 3.881 Å, b = 8.688 Å, c = 5.839 Å
α = 89.98°, β = 90.00°, γ = 90.00°
Positions (direct):
Pr 0.500 0.281 0.000
Pr 0.500 0.719 0.000
Pr 0.000 0.207 0.500
Pr 0.000 0.793 0.500
Al 0.000 0.000 0.000
Hg 0.500 0.500 0.500

Properties
Fermi-level density of states	6.411	states/eV/cell

*two*
Density functional theory data (PBE-GGA) for a geometry-optimized Pr4AlHg structure.

a = 5.239 Å, b = 5.240 Å, c = 7.496 Å
α = 90.00°, β = 90.00°, γ = 90.00°
Positions (direct):
Hg 0.001 0.997 0.498
Al 0.501 0.497 0.998
Pr 0.501 0.997 0.754
Pr 0.501 0.997 0.242
Pr 0.001 0.497 0.754
Pr 0.001 0.497 0.242

Properties
Fermi-level density of states	8.924	states/eV/cell

It turns out *two* is the most stable, with the second structure 18 meV/atom higher.

*one*
Density functional theory data (PBE-GGA) for a geometry-optimized Pr2AlHg structure.

a = 3.838 Å, b = 3.838 Å, c = 9.700 Å
α = 78.59°, β = 78.59°, γ = 60.00°
Positions (direct):
Hg 0.500 0.500 0.500
Al 0.000 0.000 0.000
Pr 0.746 0.746 0.761
Pr 0.254 0.254 0.239

Properties
Fermi-level density of states	4.019	states/eV/cell

*two*
Density functional theory data (PBE-GGA) for a geometry-optimized Pr2AlHg structure.

a = 3.648 Å, b = 3.648 Å, c = 8.273 Å
α = 90.00°, β = 90.00°, γ = 90.00°
Positions (direct):
Pr 0.000 0.000 0.239
Pr 0.000 0.000 0.761
Hg 0.500 0.500 0.500
Al 0.500 0.500 0.000

Properties
Fermi-level density of states	2.442	states/eV/cell

It turns out *two* is the most stable, with the second structure 194 meV/atom higher.